[1]
Below is a relaxed MgNi6O8 crystal, with properties calculated at the GGA+U level.

Lattice parameters (Å, degrees): 7.5549 7.5549 3.0232 90.00 90.00 120.00
Space group P-3 (No. 147)
One atom of each set of equivalent atoms:
Mg1 0.0000 0.0000 0.0000 x1
Ni1 0.1389 0.6835 0.7440 x6
O1 0.0212 0.3086 0.7593 x6
O2 0.3333 0.6667 0.2586 x2

Output
total magnetization	10.00	μB per formula unit
E	-70.5	eV/cell

=====

[2]
Below is a relaxed MgNiO crystal, with properties calculated at the GGA+U level.

Lattice parameters (Å, degrees): 4.0379 5.8257 2.9932 90.00 90.00 90.00
Space group Pmn2_1 (No. 31)
One atom of each set of equivalent atoms:
Mg1 0.0000 0.1288 0.0000 x2
Ni1 0.0000 0.6043 0.9977 x2
O1 0.0000 0.8875 0.4999 x2

Output
total magnetization	0.95	μB per formula unit
E	-24.7	eV/cell

=====

[3]
Below is a relaxed MgNiO crystal, with properties calculated at the GGA+U level.

Lattice parameters (Å, degrees): 2.9452 5.0620 5.2213 104.31 105.31 91.43
Space group P1 (No. 1)
One atom of each set of equivalent atoms:
Mg1 0.0000 0.0000 0.0000 x1
Mg2 0.1957 0.7274 0.4350 x1
Ni1 0.4995 0.4441 0.9227 x1
Ni2 0.7435 0.2605 0.4862 x1
O1 0.6006 0.8723 0.2211 x1
O2 0.8051 0.6655 0.6844 x1

Output
total magnetization	0.82	μB per formula unit
E	-24.3	eV/cell

=====

[4]
Below is a relaxed MgNi3O4 crystal, with properties calculated at the GGA+U level.

Lattice parameters (Å, degrees): 5.1727 5.9783 5.1854 90.00 109.47 90.00
Space group P2/c (No. 13)
One atom of each set of equivalent atoms:
Mg1 0.0000 0.1270 0.2500 x2
Ni1 0.0000 0.3749 0.7500 x2
Ni2 0.5000 0.1254 0.7500 x2
Ni3 0.5000 0.3752 0.2500 x2
O1 0.2488 0.1242 0.9997 x4
O2 0.2494 0.3752 0.5001 x4

Output
total magnetization	6.00	μB per formula unit
E	-82.0	eV/cell

=====

[5]
Below is a relaxed MgNiO crystal, with properties calculated at the GGA+U level.

Lattice parameters (Å, degrees): 3.3739 3.3739 8.3722 90.00 90.00 120.00
Space group P6_3/mmc (No. 194)
One atom of each set of equivalent atoms:
Mg1 0.3333 0.6667 0.2500 x2
Ni1 0.0000 0.0000 0.0000 x2
O1 0.0000 0.0000 0.2500 x2

Output
total magnetization	0.60	μB per formula unit
E	-24.2	eV/cell

=====

[6]
Below is a relaxed MgNi2O5 crystal, with properties calculated at the GGA+U level.

Lattice parameters (Å, degrees): 3.1285 11.0296 5.3019 90.00 90.00 90.00
Space group Pmmn (No. 59, origin choice 2)
One atom of each set of equivalent atoms:
Mg1 0.2500 0.2500 0.1208 x2
Ni1 0.2500 0.6043 0.4567 x4
O1 0.2500 0.0548 0.3375 x4
O2 0.2500 0.6815 0.1255 x4
O3 0.2500 0.7500 0.6261 x2

Output
offset from the most stable computed form	9.6	kJ per mole of atoms
total magnetization	2.00	μB per formula unit
E	-78.0	eV/cell

=====

[7]
Below is a relaxed MgNiO crystal, with properties calculated at the GGA+U level.

Lattice parameters (Å, degrees): 3.0113 4.0515 5.8376 90.00 96.64 90.00
Space group P2_1/m (No. 11)
One atom of each set of equivalent atoms:
Mg1 0.2236 0.2500 0.3711 x2
Ni1 0.2875 0.2500 0.8970 x2
O1 0.2253 0.7500 0.3884 x2

Output
total magnetization	0.94	μB per formula unit
E	-24.7	eV/cell

=====

[8]
Below is a relaxed Mg2Ni3O8 crystal, with properties calculated at the GGA+U level.

Lattice parameters (Å, degrees): 5.7219 5.7219 9.1741 90.00 90.00 120.00
Space group P6_3mc (No. 186)
One atom of each set of equivalent atoms:
Mg1 0.3333 0.6667 0.0000 x2
Mg2 0.3333 0.6667 0.3918 x2
Ni1 0.1650 0.3299 0.7196 x6
O1 0.0000 0.0000 0.3222 x2
O2 0.0384 0.5192 0.8358 x6
O3 0.1560 0.3121 0.1153 x6
O4 0.3333 0.6667 0.6137 x2

Output
offset from the most stable computed form	4.0	kJ per mole of atoms
total magnetization	0.05	μB per formula unit
E	-129.8	eV/cell

=====

[9]
Below is a relaxed MgNiO crystal, with properties calculated at the GGA+U level.

Lattice parameters (Å, degrees): 3.0624 3.0624 9.3151 90.00 90.00 120.00
Space group P3m1 (No. 156)
One atom of each set of equivalent atoms:
Mg1 0.0000 0.0000 0.0000 x1
Mg2 0.3333 0.6667 0.2711 x1
Ni1 0.0000 0.0000 0.5266 x1
Ni2 0.3333 0.6667 0.7097 x1
O1 0.3333 0.6667 0.9122 x1
O2 0.6667 0.3333 0.1708 x1

Output
total magnetization	1.00	μB per formula unit
E	-24.4	eV/cell

=====

[10]
Below is a relaxed MgNi2O5 crystal, with properties calculated at the GGA+U level.

Lattice parameters (Å, degrees): 3.8632 10.7459 10.5466 90.00 90.00 90.00
Space group Cmcm (No. 63)
One atom of each set of equivalent atoms:
Mg1 0.0000 0.1044 0.2500 x4
Ni1 0.0000 0.2554 0.5973 x8
O1 0.0000 0.0861 0.6854 x8
O2 0.0000 0.2095 0.0804 x8
O3 0.0000 0.3539 0.7500 x4

Output
offset from the most stable computed form	0.0	kJ per mole of atoms
total magnetization	3.92	μB per formula unit
E	-159.2	eV/cell

=====

[11]
Below is a relaxed Mg2NiOsO6 crystal, with properties calculated at the GGA+U level.

Lattice parameters (Å, degrees): 5.2049 5.2049 4.8267 90.00 90.00 90.00
Space group P4mm (No. 99)
One atom of each set of equivalent atoms:
Mg1 0.0000 0.5000 0.0000 x2
Ni1 0.0000 0.0000 0.6459 x1
Os1 0.5000 0.5000 0.6411 x1
O1 0.0000 0.0000 0.2495 x1
O2 0.2628 0.2628 0.8072 x4
O3 0.5000 0.5000 0.2848 x1

Output
total magnetization	2.00	μB per formula unit
E	-60.0	eV/cell

=====

[12]
Below is a relaxed MgNi2OsO6 crystal, with properties calculated at the GGA+U level.

Lattice parameters (Å, degrees): 5.1659 5.3423 9.0125 90.00 123.43 90.00
Space group P2_1/c (No. 14)
One atom of each set of equivalent atoms:
Mg1 0.0000 0.0000 0.0000 x2
Ni1 0.2676 0.0459 0.7747 x4
Os1 0.5000 0.0000 0.5000 x2
O1 0.1296 0.0648 0.2574 x4
O2 0.2618 0.6606 0.0779 x4
O3 0.4013 0.1812 0.0556 x4

Output
total magnetization	1.99	μB per formula unit
E	-120.6	eV/cell

=====

Question: The highest E belongs to which entry?
Answer: number 5